This record from Alexandria via LeMat-Bulk describes a relaxed structure of LiTi2In4. The functional is PBE.

Lattice parameters (Å, degrees): 7.0568 7.0568 6.0965 90.00 90.00 90.00
Space group I4/mmm (No. 139)
Inequivalent atoms, fractional coordinates:
Li1 0.0000 0.0000 0.0000
Ti1 0.0000 0.5000 0.0000
In1 0.2500 0.2500 0.2500

Results
DOS at the Fermi energy = 10.8 states/eV per cell
Energy of formation from the pure elements = -0.138 eV/atom

This record from Alexandria via LeMat-Bulk describes a relaxed structure of Zr2VInGe. The functional is PBE.

Lattice parameters (Å, degrees): 4.8941 4.8941 4.7500 90.00 90.00 90.00
Space group P4/mmm (No. 123)
Inequivalent atoms, fractional coordinates:
Zr1 0.0000 0.5000 0.0000
V1 0.0000 0.0000 0.0000
In1 0.5000 0.5000 0.5000
Ge1 0.0000 0.0000 0.5000

Results
DOS at the Fermi energy = 5.5 states/eV per cell
Energy of formation from the pure elements = 0.343 eV/atom

This record from Alexandria via LeMat-Bulk describes a relaxed structure of Pu3AgPd2. The functional is PBE.

Lattice parameters (Å, degrees): 3.3092 3.3092 12.2449 90.00 90.00 90.00
Space group P4/mmm (No. 123)
Inequivalent atoms, fractional coordinates:
Pu1 0.0000 0.0000 0.0000
Pu2 0.0000 0.0000 0.3167
Ag1 0.5000 0.5000 0.5000
Pd1 0.5000 0.5000 0.1609

Results
Energy above the most stable polymorph in this dataset = 0.00 eV/f.u.
DOS at the Fermi energy = 24.4 states/eV per cell
Energy of formation from the pure elements = -0.230 eV/atom

This record from Alexandria via LeMat-Bulk describes a relaxed structure of MnZn2Pd5Au2. The functional is PBE.

Lattice parameters (Å, degrees): 9.1043 9.1043 3.8904 90.00 90.00 90.00
Space group P4/mbm (No. 127)
Inequivalent atoms, fractional coordinates:
Mn1 0.0000 0.0000 0.0000
Zn1 0.1271 0.3729 0.0000
Pd1 0.0000 0.5000 0.5000
Pd2 0.0830 0.1943 0.5000
Au1 0.1690 0.6690 0.0000

Results
DOS at the Fermi energy = 6.1 states/eV per cell
Energy of formation from the pure elements = -0.213 eV/atom

This record from Alexandria via LeMat-Bulk describes a relaxed structure of Mg6Zn2Au. The functional is PBE.

Lattice parameters (Å, degrees): 4.7916 4.7916 8.8117 90.00 90.00 120.00
Space group P-3m1 (No. 164)
Inequivalent atoms, fractional coordinates:
Mg1 0.0000 0.0000 0.1873
Mg2 0.3333 0.6667 0.0560
Mg3 0.3333 0.6667 0.4068
Zn1 0.3333 0.6667 0.7395
Au1 0.0000 0.0000 0.5000

Results
DOS at the Fermi energy = 0.9 states/eV per cell
Energy of formation from the pure elements = -0.170 eV/atom

This record from Alexandria via LeMat-Bulk describes a relaxed structure of CoI2Cl. The functional is PBE.

Lattice parameters (Å, degrees): 6.6447 6.1150 10.5905 90.00 90.00 90.00
Space group Pnna (No. 52)
Inequivalent atoms, fractional coordinates:
Co1 0.2500 0.0000 0.0963
I1 0.0760 0.2233 0.9222
Cl1 0.1148 0.2500 0.2500

Results
Energy above the most stable polymorph in this dataset = 0.00 eV/f.u.
DOS at the Fermi energy = 1.3 states/eV per cell
ΔE_f (raw) = -0.660 eV per formula unit

Calculated values (eV/atom) of DFT total energy for the records, taken in order: -4.23, -6.37, -9.60, -4.64, -1.88, -3.18.